[1]
MgTlCuNi, optimized geometry, DFT GGA-PBE; total magnetic moment = 0.0 μB per cell; DFT total energy = -3.181 eV/atom; energy relative to the lowest polymorph listed for this composition = 78 meV/atom
1.0
0.0000 3.1744 3.1744
3.1744 0.0000 3.1744
3.1744 3.1744 0.0000
Mg Tl Cu Ni
1 1 1 1
Cartesian
0.0000 0.0000 0.0000
1.5872 1.5872 1.5872
4.7616 4.7616 4.7616
3.1744 3.1744 3.1744

=====

[2]
MgTlCuNi, optimized geometry, DFT GGA-PBE; total magnetic moment = 0.0 μB per cell; DFT total energy = -3.259 eV/atom; energy relative to the lowest polymorph listed for this composition = 0 meV/atom
1.0
0.0000 3.1652 3.1652
3.1652 0.0000 3.1652
3.1652 3.1652 0.0000
Mg Tl Cu Ni
1 1 1 1
Cartesian
0.0000 0.0000 0.0000
3.1652 3.1652 3.1652
4.7478 4.7478 4.7478
1.5826 1.5826 1.5826